First-principles (PBE+U) data for a geometry-optimized Sr3VCr3O8 structure, as listed in Alexandria.

a = 6.259 Å, b = 6.617 Å, c = 6.690 Å
α = 118.67°, β = 90.61°, γ = 116.67°
Fractional positions:
Sr (0.000, 0.000, 0.000)
Sr (0.000, 0.500, 0.000)
Sr (0.500, 0.000, 0.000)
V (0.000, 0.500, 0.500)
Cr (0.000, 0.000, 0.500)
Cr (0.500, 0.000, 0.500)
Cr (0.500, 0.500, 0.500)
O (0.219, 0.448, 0.686)
O (0.220, 0.944, 0.684)
O (0.231, 0.486, 0.291)
O (0.241, 0.989, 0.284)
O (0.759, 0.011, 0.716)
O (0.769, 0.514, 0.709)
O (0.780, 0.056, 0.316)
O (0.781, 0.552, 0.314)

* space-group type: No. 2
* electronic total energy: -7.061 eV per atom
* magnetic moment: 13.0 Bohr magnetons per cell